(1)
A plane-wave DFT calculation with meta-GGA SCAN was carried out for a PBEsol-optimized structure of LiCaCoF6.

Output
Crystal system: trigonal
Total moment in μB per atom: 0.013
DOS at the Fermi energy in states/eV/f.u.: 0.00
E_tot in Ry per atom: -0.6420
Raw formation energy in meV/atom: -3113

The structure in POSCAR format:
```
LiCaCoF6
1.0
4.997 0.000 0.000
-2.498 4.327 0.000
0.000 0.000 9.681
Li Ca Co F
2 2 2 12
direct
0.333 0.667 0.250
0.667 0.333 0.750
0.000 0.000 0.000
0.000 0.000 0.500
0.333 0.667 0.750
0.667 0.333 0.250
0.024 0.372 0.858
0.024 0.652 0.642
0.348 0.372 0.642
0.348 0.976 0.858
0.372 0.024 0.358
0.372 0.348 0.142
0.628 0.652 0.858
0.628 0.976 0.642
0.652 0.024 0.142
0.652 0.628 0.358
0.976 0.348 0.358
0.976 0.628 0.142
```

***

(2)
A plane-wave DFT calculation with meta-GGA SCAN was carried out for a PBEsol-optimized structure of Na4Mn2PC4O16.

Output
Crystal system: orthorhombic
Total moment in μB per atom: 0.334
DOS at the Fermi energy in states/eV/f.u.: 10.23
E_tot in Ry per atom: -0.6876
Raw formation energy in meV/atom: -1804

The structure in POSCAR format:
```
Na4Mn2PC4O16
1.0
0.000 6.932 7.077
6.719 0.000 7.077
6.719 6.932 0.000
Na Mn P C O
8 4 2 8 32
direct
0.080 0.080 0.670
0.086 0.664 0.664
0.330 0.330 0.920
0.336 0.914 0.914
0.664 0.086 0.086
0.670 0.670 0.080
0.914 0.336 0.336
0.920 0.920 0.330
0.000 0.500 0.500
0.500 0.000 0.500
0.500 0.500 0.000
0.500 0.500 0.500
0.125 0.125 0.125
0.875 0.875 0.875
0.279 0.287 0.640
0.287 0.279 0.295
0.295 0.640 0.287
0.360 0.705 0.721
0.640 0.295 0.279
0.705 0.360 0.713
0.713 0.721 0.705
0.721 0.713 0.360
0.057 0.065 0.319
0.059 0.319 0.065
0.065 0.057 0.059
0.137 0.394 0.323
0.140 0.317 0.629
0.150 0.651 0.398
0.302 0.398 0.651
0.317 0.140 0.414
0.319 0.059 0.057
0.323 0.646 0.137
0.349 0.850 0.698
0.354 0.677 0.606
0.371 0.586 0.860
0.394 0.137 0.646
0.398 0.302 0.150
0.414 0.629 0.317
0.586 0.371 0.683
0.602 0.698 0.850
0.606 0.863 0.354
0.629 0.414 0.140
0.646 0.323 0.394
0.651 0.150 0.302
0.677 0.354 0.863
0.681 0.941 0.943
0.683 0.860 0.586
0.698 0.602 0.349
0.850 0.349 0.602
0.860 0.683 0.371
0.863 0.606 0.677
0.935 0.943 0.941
0.941 0.681 0.935
0.943 0.935 0.681
```

***

(3)
A plane-wave DFT calculation with meta-GGA SCAN was carried out for a PBEsol-optimized structure of Os.

Output
Crystal system: hexagonal
Total moment in μB per atom: 0.000
Polymorph energy (0 for the lowest one) in meV/atom: 0
DOS at the Fermi energy in states/eV/f.u.: 0.50
E_tot in Ry per atom: -5.2831

The structure in POSCAR format:
```
Os
1.0
2.729 0.000 0.000
-1.364 2.363 0.000
0.000 0.000 4.317
Os
2
direct
0.333 0.667 0.250
0.667 0.333 0.750
```

***

(4)
A plane-wave DFT calculation with meta-GGA SCAN was carried out for a PBEsol-optimized structure of Be2CuAu.

Output
Crystal system: orthorhombic
Total moment in μB per atom: 0.000
DOS at the Fermi energy in states/eV/f.u.: 0.97
E_tot in Ry per atom: -1.7235

The structure in POSCAR format:
```
Be2CuAu
1.0
3.726 0.000 0.000
0.000 1.353 4.430
0.000 -1.353 4.430
Be Cu Au
2 1 1
direct
0.000 0.000 0.000
0.500 0.140 0.140
0.500 0.422 0.422
0.000 0.734 0.734
```

***

(5)
A plane-wave DFT calculation with meta-GGA SCAN was carried out for a PBEsol-optimized structure of Al4OsPt.

Output
Crystal system: cubic
Total moment in μB per atom: 0.000
DOS at the Fermi energy in states/eV/f.u.: 1.73
E_tot in Ry per atom: -2.1266

The structure in POSCAR format:
```
Al4OsPt
1.0
0.000 3.486 3.486
3.486 0.000 3.486
3.486 3.486 0.000
Al Os Pt
4 1 1
direct
0.125 0.125 0.125
0.125 0.125 0.625
0.125 0.625 0.125
0.625 0.125 0.125
0.500 0.500 0.500
0.750 0.750 0.750
```

***

(6)
A plane-wave DFT calculation with meta-GGA SCAN was carried out for a PBEsol-optimized structure of Np2Se5.

Output
Crystal system: tetragonal
Total moment in μB per atom: 0.910
DOS at the Fermi energy in states/eV/f.u.: 3.74
E_tot in Ry per atom: -3.3823
Raw formation energy in meV/atom: -1103

The structure in POSCAR format:
```
Np2Se5
1.0
5.362 0.000 0.000
0.000 5.362 0.000
0.000 0.000 10.436
Np Se
4 10
direct
0.250 0.250 0.151
0.250 0.250 0.651
0.750 0.750 0.349
0.750 0.750 0.849
0.006 0.750 0.103
0.250 0.506 0.397
0.250 0.750 0.750
0.250 0.994 0.397
0.494 0.750 0.103
0.506 0.250 0.897
0.750 0.006 0.603
0.750 0.250 0.250
0.750 0.494 0.603
0.994 0.250 0.897
```

***

(7)
A plane-wave DFT calculation with meta-GGA SCAN was carried out for a PBEsol-optimized structure of AgTeHN2.

Output
Crystal system: tetragonal
Total moment in μB per atom: 0.348
DOS at the Fermi energy in states/eV/f.u.: 1.79
E_tot in Ry per atom: -1.1887

The structure in POSCAR format:
```
AgTeHN2
1.0
4.062 0.000 0.000
0.000 4.062 0.000
0.000 0.000 3.557
Ag Te H N
1 1 1 2
direct
0.000 0.000 0.000
0.500 0.500 0.000
0.500 0.500 0.500
0.000 0.500 0.500
0.500 0.000 0.500
```

***

(8)
A plane-wave DFT calculation with meta-GGA SCAN was carried out for a PBEsol-optimized structure of POsW2.

Output
Crystal system: orthorhombic
Total moment in μB per atom: 0.000
DOS at the Fermi energy in states/eV/f.u.: 2.14
E_tot in Ry per atom: -4.0683

The structure in POSCAR format:
```
POsW2
1.0
3.756 0.000 0.000
0.000 1.444 5.294
0.000 -1.444 5.294
P Os W
1 1 2
direct
0.000 0.000 0.000
0.500 0.137 0.137
0.000 0.761 0.761
0.500 0.411 0.411
```